a:
A plane-wave DFT calculation with GGA-PBE was carried out for EuGdGa after structural relaxation.

Cell lengths 7.2530, 7.2530, 7.2530 Å; angles 90.00, 90.00, 90.00 degrees
With the nearest neighbours (Å) after each atom.
Space group F-43m (No. 216)
Symmetry-distinct sites (fractional):
1 Eu 0.0000 0.0000 0.0000  4 Ga 3.14
2 Gd 0.0000 0.0000 0.5000  4 Ga 3.14
3 Ga 0.2500 0.2500 0.7500  4 Gd 3.14, 4 Eu 3.14

Crystal system: cubic
M_tot, μB/f.u.: 0.1



b:
A plane-wave DFT calculation with GGA-PBE was carried out for EuGdGa after structural relaxation.

Cell lengths 3.3881, 3.3881, 16.1233 Å; angles 90.00, 90.00, 90.00 degrees
With the nearest neighbours (Å) after each atom.
Space group I4mm (No. 107)
Symmetry-distinct sites (fractional):
1 Eu 0.0000 0.0000 0.0000  4 Ga 3.12, 1 Gd 3.26, 4 Eu 3.39
2 Gd 0.0000 0.0000 0.7975  1 Ga 2.81
3 Ga 0.0000 0.0000 0.6235  1 Gd 2.81, 4 Eu 3.12

Crystal system: tetragonal
M_tot, μB/f.u.: 0.8



We find a to be the most stable, with the next structure 41.7 kJ/mol of atoms higher.



a:
A plane-wave DFT calculation with GGA-PBE was carried out for EuGa2Ge after structural relaxation.

Cell lengths 4.3187, 4.3187, 4.4832 Å; angles 90.00, 90.00, 90.00 degrees
With the nearest neighbours (Å) after each atom.
Space group P4/mmm (No. 123)
Symmetry-distinct sites (fractional):
1 Eu 0.0000 0.0000 0.0000  4 Ge 3.05, 8 Ga 3.11
2 Ga 0.0000 0.5000 0.5000  4 Ga 3.05, 4 Ge 3.11, 4 Eu 3.11
3 Ge 0.5000 0.5000 0.0000  4 Eu 3.05, 8 Ga 3.11

Crystal system: tetragonal
M_tot, μB/f.u.: 6.8



b:
A plane-wave DFT calculation with GGA-PBE was carried out for EuGa2Ge after structural relaxation.

Cell lengths 4.3845, 4.3845, 16.6403 Å; angles 90.00, 90.00, 120.00 degrees
With the nearest neighbours (Å) after each atom.
Space group R-3m (No. 166, hexagonal axes)
Symmetry-distinct sites (fractional):
1 Eu 0.0000 0.0000 0.0000  6 Ga 3.12
2 Ga 0.0000 0.0000 0.2241  3 Ge 2.71
3 Ge 0.0000 0.0000 0.5000  6 Ga 2.71

Crystal system: trigonal
M_tot, μB/f.u.: 7.0



We find a to be the most stable, with the next structure 6.5 kJ/mol of atoms higher.



a:
A plane-wave DFT calculation with GGA-PBE was carried out for EuHfGa2 after structural relaxation.

Cell lengths 3.5741, 3.5741, 6.8627 Å; angles 90.00, 90.00, 90.00 degrees
With the nearest neighbours (Å) after each atom.
Space group P4/mmm (No. 123)
Symmetry-distinct sites (fractional):
1 Eu 0.0000 0.0000 0.0000  8 Ga 3.24, 2 Hf 3.43, 4 Eu 3.57
2 Hf 0.0000 0.0000 0.5000  8 Ga 2.89
3 Ga 0.5000 0.5000 0.2948  1 Ga 2.82, 4 Hf 2.89

Crystal system: tetragonal
M_tot, μB/f.u.: 7.1



b:
A plane-wave DFT calculation with GGA-PBE was carried out for EuHfGa2 after structural relaxation.

Cell lengths 3.4467, 3.4467, 26.8765 Å; angles 90.00, 90.00, 120.00 degrees
With the nearest neighbours (Å) after each atom.
Space group R-3m (No. 166, hexagonal axes)
Symmetry-distinct sites (fractional):
1 Eu 0.0000 0.0000 0.0000  6 Ga 3.13, 6 Eu 3.45
2 Hf 0.0000 0.0000 0.5000  6 Ga 2.86
3 Ga 0.0000 0.0000 0.2433  3 Hf 2.86, 3 Eu 3.13

Crystal system: trigonal
M_tot, μB/f.u.: 7.1



We find a to be the most stable, with the next structure 17.9 kJ/mol of atoms higher.



a:
A plane-wave DFT calculation with GGA-PBE was carried out for EuGaHg after structural relaxation.

Cell lengths 6.9136, 6.9136, 6.9136 Å; angles 90.00, 90.00, 90.00 degrees
With the nearest neighbours (Å) after each atom.
Space group F-43m (No. 216)
Symmetry-distinct sites (fractional):
1 Eu 0.0000 0.0000 0.0000  4 Ga 2.99
2 Ga 0.2500 0.2500 0.7500  4 Hg 2.99, 4 Eu 2.99
3 Hg 0.0000 0.0000 0.5000  4 Ga 2.99

Crystal system: cubic
M_tot, μB/f.u.: 6.9



b:
A plane-wave DFT calculation with GGA-PBE was carried out for EuGaHg after structural relaxation.

Cell lengths 4.8088, 4.8088, 3.7890 Å; angles 90.00, 90.00, 120.00 degrees
With the nearest neighbours (Å) after each atom.
Space group P-6m2 (No. 187)
Symmetry-distinct sites (fractional):
1 Eu 0.0000 0.0000 0.0000  6 Ga 3.36, 6 Hg 3.36
2 Ga 0.3333 0.6667 0.5000  3 Hg 2.78
3 Hg 0.6667 0.3333 0.5000  3 Ga 2.78

Crystal system: hexagonal
M_tot, μB/f.u.: 7.1



c:
A plane-wave DFT calculation with GGA-PBE was carried out for EuGaHg after structural relaxation.

Cell lengths 3.7207, 3.7207, 11.1157 Å; angles 90.00, 90.00, 90.00 degrees
With the nearest neighbours (Å) after each atom.
Space group I4mm (No. 107)
Symmetry-distinct sites (fractional):
1 Eu 0.0000 0.0000 0.0000  5 Ga 3.30-3.57, 5 Hg 3.34-3.50
2 Ga 0.0000 0.0000 0.6790  4 Hg 3.03, 4 Eu 3.30
3 Hg 0.0000 0.0000 0.3150  4 Ga 3.03, 4 Eu 3.34

Crystal system: tetragonal
M_tot, μB/f.u.: 7.1



We find b to be the most stable, with the next structure 13.1 kJ/mol of atoms higher.